1) ReH3Ru | PBE | relaxed

extended XYZ file:
```
5
Lattice="3.3757 0.0000 0.0000 0.0000 3.3757 0.0000 0.0000 0.0000 3.3757" Properties=species:S:1:pos:R:3 pbc="T T T"
Re 0.0000 0.0000 0.0000
H 0.0000 1.6878 1.6878
H 1.6878 0.0000 1.6878
H 1.6878 1.6878 0.0000
Ru 1.6878 1.6878 1.6878
```

Properties
- magnetization (μB/cell) = 0.00

2) ReH3Ru | PBE | relaxed

extended XYZ file:
```
5
Lattice="3.4350 0.0000 0.0000 0.0000 3.4350 0.0000 0.0000 0.0000 3.4350" Properties=species:S:1:pos:R:3 pbc="T T T"
Re 0.0000 0.0000 0.0000
H 0.0000 0.0000 1.7175
H 0.0000 1.7175 0.0000
H 1.7175 0.0000 0.0000
Ru 1.7175 1.7175 1.7175
```

Properties
- magnetization (μB/cell) = 1.15

Relative stability in kJ/mol of atoms, measured from the most stable structure: 1) 0.0; 2) 7.0